# KOsRh2

A geometry-optimized KOsRh2 structure (PBEsol, Alexandria).

Unit cell a=2.6486 b=4.7437 c=5.1527 alpha=90.00 beta=90.00 gamma=90.00
Last column: nearest neighbours and their distance in Å.
Element x y z (fractional)
K: 0.0000 0.0000 0.0000  2 K 2.65, 4 Rh 2.72, 4 Os 2.90
Os: 0.5000 0.0000 0.5000  2 Os 2.65, 4 Rh 2.72, 4 K 2.90
Rh: 0.0000 0.5000 0.5000  6 Rh 2.65-2.90, 4 Os 2.72
Rh: 0.5000 0.5000 0.0000  6 Rh 2.65-2.90, 4 K 2.72

Results
energy relative to the elements	1.3008	eV/atom
excess energy over the best structure of this formula in the dataset	0.726	eV per atom
calculated volume	16.18	Å³/atom
calculated total energy	-6.11	eV/atom
SG	No. 47